36
Lattice="8.687 0.000 0.000 4.343 7.523 0.000 4.343 2.508 6.744" Properties=species:S:1:pos:R:3 comment="Fe2SnP3O12, single point on PBEsol structure, DFT meta-GGA SCAN" e_form_raw_kj_per_mol_atoms=-202.5 energy_ev_per_atom=-11.996 pbc="T T T"
Fe 13.030 7.523 3.086
Fe 8.687 5.015 0.286
Fe 8.687 5.015 6.458
Fe 4.343 2.508 3.658
Sn 0.000 0.000 0.000
Sn 8.687 5.015 3.372
P 11.727 4.766 1.686
P 6.951 2.508 1.686
P 7.383 7.773 1.686
P 9.991 2.258 5.058
P 10.423 7.523 5.058
P 5.647 5.265 5.058
O 13.991 6.024 6.322
O 13.848 9.105 6.322
O 12.320 6.215 1.482
O 11.252 7.441 6.322
O 12.213 4.089 2.950
O 10.175 4.976 1.890
O 7.909 1.269 1.482
O 7.909 3.746 1.890
O 9.648 1.499 3.795
O 7.977 6.323 1.890
O 11.543 2.469 5.262
O 11.252 7.606 3.795
O 6.122 2.425 2.950
O 5.831 7.562 1.482
O 9.397 3.707 4.854
O 7.726 8.532 2.950
O 9.465 6.284 4.854
O 9.465 8.762 5.262
O 7.199 5.054 4.854
O 5.161 5.942 3.795
O 6.122 2.590 0.423
O 5.054 3.816 5.262
O 3.526 0.926 0.423
O 3.383 4.007 0.423